--- a ---
Material: Sr2HfSc2
Method: DFT, GGA-PBE
State: relaxed

Lattice parameters (Å, degrees): 11.4502 11.4502 11.4502 160.09 160.09 28.30
Closest atoms and distances in Å follow each position.
Sites, in units of the cell vectors:
Sr (0.1051, 0.1051, 0.0000)  4 Hf 3.64, 4 Sc 3.78, 4 Sr 3.96
Sr (0.8949, 0.8949, 0.0000)  4 Hf 3.64, 4 Sc 3.78, 4 Sr 3.96
Hf (0.5000, 0.5000, 0.0000)  8 Sr 3.64, 4 Hf 3.96
Sc (0.2500, 0.7500, 0.5000)  4 Sc 2.80
Sc (0.7500, 0.2500, 0.5000)  4 Sc 2.80

The calculation puts the density of states at the Fermi level at 1.5749 states/eV per atom. Its space group is I4/mmm.

***

--- b ---
Material: Sr2HfSc2
Method: DFT, GGA-PBE
State: relaxed

Lattice parameters (Å, degrees): 9.0406 9.0406 3.6785 90.00 90.00 90.00
Closest atoms and distances in Å follow each position.
Sites, in units of the cell vectors:
Sr (0.1343, 0.3657, 0.0000)  6 Sc 3.10-3.33, 1 Sr 3.43
Sr (0.3657, 0.8657, 0.0000)  6 Sc 3.10-3.33, 1 Sr 3.43
Sr (0.6343, 0.1343, 0.0000)  6 Sc 3.10-3.33, 1 Sr 3.43
Sr (0.8657, 0.6343, 0.0000)  6 Sc 3.10-3.33, 1 Sr 3.43
Hf (0.0000, 0.0000, 0.0000)  4 Sr 3.52, 2 Hf 3.68, 8 Sc 3.82
Hf (0.5000, 0.5000, 0.0000)  4 Sr 3.52, 2 Hf 3.68, 8 Sc 3.82
Sc (0.1709, 0.6709, 0.5000)  6 Sr 3.10-3.33
Sc (0.3291, 0.1709, 0.5000)  6 Sr 3.10-3.33
Sc (0.6709, 0.8291, 0.5000)  6 Sr 3.10-3.33
Sc (0.8291, 0.3291, 0.5000)  6 Sr 3.10-3.33

The calculation puts the density of states at the Fermi level at 2.0041 states/eV per atom. Its space group is P4/mbm.

***

Among the structures shown above, a is the most stable, with the second-best lying 22 meV per atom higher.